## LaSc2Tl (PBE)

Data for a relaxed LaSc2Tl crystal.

```
LaSc2Tl
1.0
5.783 0.001 0.000
1.845 5.481 0.000
-3.814 -2.741 3.374
Sc La Tl
2 1 1
direct
0.000 0.000 0.000 Sc
0.500 0.500 0.000 Sc
0.750 0.250 0.500 La
0.250 0.750 0.500 Tl
```

Output
Its space-group type is No. 139. Its total energy is -5.050 eV per atom.